Entry 1:
Here is a relaxed structure of NiPb2Br from Alexandria. Energies are from GGA-PBE. Values from VASP.

Symmetry: No. 225
E above lowest polymorph in eV per formula unit: 1.61
Fermi-level density of states in states/eV/cell: 3.40
Crystal system: cubic
Uncorrected formation energy in kJ/mol of atoms: 29.9

```
&SYSTEM
  ibrav = 0, nat = 4, ntyp = 3
/
ATOMIC_SPECIES
Pb 207.20 Pb.upf
Ni 58.69 Ni.upf
Br 79.90 Br.upf
CELL_PARAMETERS angstrom
0.000 3.675 3.675
3.675 0.000 3.675
3.675 3.675 0.000
ATOMIC_POSITIONS crystal
Pb 0.250 0.250 0.250
Pb 0.750 0.750 0.750
Ni 0.000 0.000 0.000
Br 0.500 0.500 0.500
```

Entry 2:
Here is a relaxed structure of ZnRu2Se from Alexandria. Energies are from GGA-PBE. Values from VASP.

Symmetry: No. 25
E above lowest polymorph in eV per formula unit: 0.30
Fermi-level density of states in states/eV/cell: 4.13
Crystal system: orthorhombic
Uncorrected formation energy in kJ/mol of atoms: 15.9

```
&SYSTEM
  ibrav = 0, nat = 4, ntyp = 3
/
ATOMIC_SPECIES
Ru 101.07 Ru.upf
Se 78.96 Se.upf
Zn 65.41 Zn.upf
CELL_PARAMETERS angstrom
4.599 0.000 0.000
0.000 2.934 -0.411
0.000 0.623 4.413
ATOMIC_POSITIONS crystal
Ru 0.000 0.875 0.050
Ru 0.500 0.375 0.226
Se 0.000 0.375 0.485
Zn 0.500 0.875 0.739
```